a.
{
  "formula": "La2ScSi2",
  "functional": "PBE-GGA",
  "state": "relaxed",
  "crystal_system": "tetragonal",
  "density_g_cm3": 4.89,
  "lattice": [[-2.914, 6.880, 4.187], [-7.675, -3.721, 0.771], [0.999, -1.430, 3.046]],
  "species": ["Sc", "Sc", "Si", "Si", "Si", "Si", "La", "La", "La", "La"],
  "frac_coords": [[0.000, 0.000, 0.000], [0.500, 0.500, 0.000], [0.175, 0.675, 0.500], [0.675, 0.825, 0.500], [0.825, 0.325, 0.500], [0.325, 0.175, 0.500], [0.374, 0.874, 0.000], [0.874, 0.626, 0.000], [0.626, 0.126, 0.000], [0.126, 0.374, 0.000]]
}


b.
{
  "formula": "La2ScSi2",
  "functional": "PBE-GGA",
  "state": "relaxed",
  "crystal_system": "tetragonal",
  "density_g_cm3": 4.98,
  "lattice": [[-1.681, 6.490, -3.274], [-6.725, -2.665, -1.828], [-1.680, 1.546, 3.928]],
  "species": ["Sc", "Sc", "Si", "Si", "Si", "Si", "La", "La", "La", "La"],
  "frac_coords": [[0.000, 0.000, 0.000], [0.500, 0.500, 0.000], [0.383, 0.883, 0.000], [0.883, 0.617, 0.000], [0.617, 0.117, 0.000], [0.117, 0.383, 0.000], [0.178, 0.678, 0.500], [0.678, 0.822, 0.500], [0.822, 0.322, 0.500], [0.322, 0.178, 0.500]]
}


Most favorable structure: b. The second most favorable one is 0.530 eV/atom above it.


a.
{
  "formula": "La2ScSi2",
  "functional": "PBE-GGA",
  "state": "relaxed",
  "crystal_system": "tetragonal",
  "density_g_cm3": 4.30,
  "lattice": [[-3.648, -3.361, 2.488], [0.791, -3.797, -3.968], [2.084, -5.507, 1.805]],
  "species": ["Sc", "Si", "Si", "La", "La"],
  "frac_coords": [[0.000, 0.000, 0.000], [0.750, 0.250, 0.500], [0.250, 0.750, 0.500], [0.333, 0.333, 0.333], [0.667, 0.667, 0.667]]
}


b.
{
  "formula": "La2ScSi2",
  "functional": "PBE-GGA",
  "state": "relaxed",
  "crystal_system": "orthorhombic",
  "density_g_cm3": 4.95,
  "lattice": [[-2.748, -3.083, -1.236], [-1.453, -3.608, 4.714], [-5.380, 0.649, 2.826]],
  "species": ["La", "La", "Sc", "Si", "Si"],
  "frac_coords": [[0.705, 0.795, 0.295], [0.295, 0.205, 0.705], [0.500, 0.500, 0.000], [0.000, 0.205, 0.295], [0.000, 0.795, 0.705]]
}


Most favorable structure: b. The second most favorable one is 0.769 eV/atom above it.


a.
{
  "formula": "LaSc2Si2",
  "functional": "PBE-GGA",
  "state": "relaxed",
  "crystal_system": "tetragonal",
  "density_g_cm3": 4.39,
  "lattice": [[8.157, 0.000, 0.000], [0.000, 8.157, 0.000], [0.000, 0.000, 3.243]],
  "species": ["Sc", "Sc", "Sc", "Sc", "Si", "Si", "Si", "Si", "La", "La"],
  "frac_coords": [[0.145, 0.645, 0.500], [0.645, 0.855, 0.500], [0.855, 0.355, 0.500], [0.355, 0.145, 0.500], [0.351, 0.851, 0.000], [0.851, 0.649, 0.000], [0.649, 0.149, 0.000], [0.149, 0.351, 0.000], [0.000, 0.000, 0.000], [0.500, 0.500, 0.000]]
}


b.
{
  "formula": "LaSc2Si2",
  "functional": "PBE-GGA",
  "state": "relaxed",
  "crystal_system": "tetragonal",
  "density_g_cm3": 4.19,
  "lattice": [[4.358, 0.000, 0.000], [0.000, 4.358, 0.000], [2.179, 2.179, 5.947]],
  "species": ["Sc", "Sc", "Si", "Si", "La"],
  "frac_coords": [[0.750, 0.250, 0.500], [0.250, 0.750, 0.500], [0.397, 0.397, 0.207], [0.603, 0.603, 0.793], [0.000, 0.000, 0.000]]
}


c.
{
  "formula": "LaSc2Si2",
  "functional": "PBE-GGA",
  "state": "relaxed",
  "crystal_system": "tetragonal",
  "density_g_cm3": 3.81,
  "lattice": [[4.931, 0.000, 0.000], [0.000, 4.931, 0.000], [2.466, 2.466, 5.105]],
  "species": ["Sc", "Sc", "Si", "Si", "La"],
  "frac_coords": [[0.337, 0.337, 0.326], [0.663, 0.663, 0.674], [0.750, 0.250, 0.500], [0.250, 0.750, 0.500], [0.000, 0.000, 0.000]]
}


Most favorable structure: b. The second most favorable one is 0.152 eV/atom above it.


a.
{
  "formula": "LaScSi4",
  "functional": "PBE-GGA",
  "state": "relaxed",
  "crystal_system": "cubic",
  "density_g_cm3": 4.52,
  "lattice": [[-0.081, 2.548, 4.714], [-1.696, 5.077, 0.274], [-4.680, 1.139, 2.351]],
  "species": ["La", "Sc", "Si", "Si", "Si", "Si"],
  "frac_coords": [[0.750, 0.750, 0.750], [0.000, 0.000, 0.000], [0.891, 0.370, 0.370], [0.370, 0.370, 0.891], [0.370, 0.891, 0.370], [0.370, 0.370, 0.370]]
}


b.
{
  "formula": "LaScSi4",
  "functional": "PBE-GGA",
  "state": "relaxed",
  "crystal_system": "orthorhombic",
  "density_g_cm3": 4.17,
  "lattice": [[-1.798, -3.312, -1.319], [6.278, -1.981, -3.582], [4.877, -7.759, 12.840]],
  "species": ["La", "La", "La", "La", "Sc", "Sc", "Sc", "Sc", "Si", "Si", "Si", "Si", "Si", "Si", "Si", "Si", "Si", "Si", "Si", "Si", "Si", "Si", "Si", "Si"],
  "frac_coords": [[0.000, 0.626, 0.340], [0.000, 0.374, 0.660], [0.000, 0.126, 0.160], [0.000, 0.874, 0.840], [0.000, 0.632, 0.087], [0.000, 0.368, 0.913], [0.000, 0.132, 0.413], [0.000, 0.868, 0.587], [0.500, 0.787, 0.194], [0.500, 0.213, 0.806], [0.500, 0.287, 0.306], [0.500, 0.713, 0.694], [0.500, 0.884, 0.050], [0.500, 0.116, 0.950], [0.500, 0.384, 0.450], [0.500, 0.616, 0.550], [0.500, 0.867, 0.456], [0.500, 0.133, 0.544], [0.500, 0.367, 0.044], [0.500, 0.633, 0.956], [0.500, 0.972, 0.312], [0.500, 0.028, 0.688], [0.500, 0.472, 0.188], [0.500, 0.528, 0.812]]
}


Most favorable structure: b. The second most favorable one is 0.250 eV/atom above it.


a.
{
  "formula": "LaSc3Si",
  "functional": "PBE-GGA",
  "state": "relaxed",
  "crystal_system": "cubic",
  "density_g_cm3": 3.65,
  "lattice": [[5.157, 0.000, 0.000], [0.000, 5.157, 0.000], [0.000, 0.000, 5.157]],
  "species": ["Sc", "Sc", "Sc", "Si", "La"],
  "frac_coords": [[0.000, 0.500, 0.000], [0.000, 0.000, 0.500], [0.500, 0.000, 0.000], [0.000, 0.000, 0.000], [0.500, 0.500, 0.500]]
}


b.
{
  "formula": "LaSc3Si",
  "functional": "PBE-GGA",
  "state": "relaxed",
  "crystal_system": "cubic",
  "density_g_cm3": 3.78,
  "lattice": [[-4.046, 3.073, -0.418], [-2.667, -3.798, -2.110], [-1.583, -1.456, 4.622]],
  "species": ["Sc", "Sc", "Sc", "Si", "La"],
  "frac_coords": [[0.000, 0.500, 0.000], [0.000, 0.000, 0.500], [0.500, 0.000, 0.000], [0.500, 0.500, 0.500], [0.000, 0.000, 0.000]]
}


Most favorable structure: a. The second most favorable one is 1.180 eV/atom above it.


a.
{
  "formula": "LaScTiSi2",
  "functional": "PBE-GGA",
  "state": "relaxed",
  "crystal_system": "tetragonal",
  "density_g_cm3": 4.02,
  "lattice": [[-1.112, -3.697, 2.956], [1.321, -3.271, -3.594], [4.558, -0.018, 1.692]],
  "species": ["Sc", "Si", "Si", "Ti", "La"],
  "frac_coords": [[0.500, 0.500, 0.500], [0.000, 0.000, 0.500], [0.500, 0.000, 0.000], [0.000, 0.000, 0.000], [0.000, 0.500, 0.000]]
}


b.
{
  "formula": "LaScTiSi2",
  "functional": "PBE-GGA",
  "state": "relaxed",
  "crystal_system": "tetragonal",
  "density_g_cm3": 4.20,
  "lattice": [[4.998, 0.000, 0.000], [0.000, 4.552, 0.000], [0.000, 0.000, 4.998]],
  "species": ["Sc", "Si", "Si", "Ti", "La"],
  "frac_coords": [[0.000, 0.000, 0.000], [0.000, 0.000, 0.500], [0.500, 0.000, 0.000], [0.000, 0.500, 0.000], [0.500, 0.500, 0.500]]
}


Most favorable structure: b. The second most favorable one is 0.068 eV/atom above it.


a.
{
  "formula": "La2SmSc",
  "functional": "PBE-GGA",
  "state": "relaxed",
  "crystal_system": "trigonal",
  "density_g_cm3": 6.04,
  "lattice": [[-1.399, -2.431, -2.283], [2.028, -2.754, -1.174], [-3.277, -8.094, 7.762]],
  "species": ["Sc", "Sm", "La", "La"],
  "frac_coords": [[0.000, 0.000, 0.000], [0.500, 0.500, 0.500], [0.746, 0.746, 0.762], [0.254, 0.254, 0.238]]
}


b.
{
  "formula": "La2SmSc",
  "functional": "PBE-GGA",
  "state": "relaxed",
  "crystal_system": "trigonal",
  "density_g_cm3": 6.01,
  "lattice": [[-0.879, 3.130, 1.557], [-1.086, 0.061, 3.437], [10.349, 2.435, 5.118]],
  "species": ["La", "La", "Sm", "Sc"],
  "frac_coords": [[0.080, 0.080, 0.761], [0.254, 0.254, 0.238], [0.499, 0.499, 0.504], [0.668, 0.668, 0.997]]
}


Most favorable structure: a. The second most favorable one is 0.017 eV/atom above it.


a.
{
  "formula": "La2SmSc",
  "functional": "PBE-GGA",
  "state": "relaxed",
  "crystal_system": "tetragonal",
  "density_g_cm3": 5.97,
  "lattice": [[-2.644, 1.088, -2.364], [1.836, -1.609, -2.794], [-4.753, -8.144, 1.568]],
  "species": ["Sc", "Sm", "La", "La"],
  "frac_coords": [[0.500, 0.500, 0.000], [0.500, 0.500, 0.500], [0.000, 0.000, 0.765], [0.000, 0.000, 0.235]]
}


b.
{
  "formula": "La2SmSc",
  "functional": "PBE-GGA",
  "state": "relaxed",
  "crystal_system": "cubic",
  "density_g_cm3": 5.93,
  "lattice": [[5.723, 0.000, 0.000], [2.862, 4.956, 0.000], [2.862, 1.652, 4.673]],
  "species": ["Sc", "Sm", "La", "La"],
  "frac_coords": [[0.500, 0.500, 0.500], [0.000, 0.000, 0.000], [0.250, 0.250, 0.250], [0.750, 0.750, 0.750]]
}


Most favorable structure: a. The second most favorable one is 0.060 eV/atom above it.


a.
{
  "formula": "La2SmSc",
  "functional": "PBE-GGA",
  "state": "relaxed",
  "crystal_system": "tetragonal",
  "density_g_cm3": 6.03,
  "lattice": [[-0.143, 4.826, -1.296], [-1.634, -1.300, -4.660], [-4.835, 0.290, 1.614]],
  "species": ["Sc", "Sm", "La", "La"],
  "frac_coords": [[0.500, 0.000, 0.000], [0.500, 0.500, 0.500], [0.000, 0.000, 0.500], [0.000, 0.500, 0.000]]
}


b.
{
  "formula": "La2SmSc",
  "functional": "PBE-GGA",
  "state": "relaxed",
  "crystal_system": "orthorhombic",
  "density_g_cm3": 6.01,
  "lattice": [[-0.304, 0.579, -3.533], [6.425, -2.010, 0.945], [-3.089, -10.563, -1.465]],
  "species": ["La", "La", "La", "La", "Sm", "Sm", "Sc", "Sc"],
  "frac_coords": [[0.377, 0.755, 0.523], [0.623, 0.245, 0.477], [0.623, 0.245, 0.023], [0.377, 0.755, 0.977], [0.256, 0.511, 0.250], [0.744, 0.489, 0.750], [0.982, 0.963, 0.250], [0.018, 0.037, 0.750]]
}


Most favorable structure: a. The second most favorable one is 0.028 eV/atom above it.


a.
{
  "formula": "LaSmSc",
  "functional": "PBE-GGA",
  "state": "relaxed",
  "crystal_system": "tetragonal",
  "density_g_cm3": 5.85,
  "lattice": [[3.591, 0.000, 0.000], [0.000, 3.591, 0.000], [-1.795, -1.795, 7.355]],
  "species": ["Sc", "Sm", "La"],
  "frac_coords": [[0.665, 0.665, 0.329], [0.008, 0.008, 0.016], [0.327, 0.327, 0.655]]
}


b.
{
  "formula": "LaSmSc",
  "functional": "PBE-GGA",
  "state": "relaxed",
  "crystal_system": "monoclinic",
  "density_g_cm3": 5.92,
  "lattice": [[5.064, 0.000, 0.000], [0.000, 3.437, -0.478], [0.000, -0.247, 10.811]],
  "species": ["La", "La", "Sm", "Sm", "Sc", "Sc"],
  "frac_coords": [[0.347, 0.044, 0.510], [0.847, 0.946, 0.313], [0.347, 0.360, 0.141], [0.847, 0.630, 0.682], [0.846, 0.783, 0.989], [0.348, 0.206, 0.835]]
}


c.
{
  "formula": "LaSmSc",
  "functional": "PBE-GGA",
  "state": "relaxed",
  "crystal_system": "orthorhombic",
  "density_g_cm3": 5.80,
  "lattice": [[3.536, 0.000, 0.000], [0.000, 8.952, 0.000], [0.000, 0.000, 12.099]],
  "species": ["Sm", "Sm", "Sm", "Sm", "Sc", "Sc", "Sc", "Sc", "La", "La", "La", "La"],
  "frac_coords": [[0.500, 0.853, 0.053], [0.500, 0.240, 0.375], [0.500, 0.353, 0.947], [0.500, 0.740, 0.625], [0.000, 0.158, 0.142], [0.000, 0.045, 0.559], [0.000, 0.545, 0.441], [0.000, 0.658, 0.858], [0.500, 0.864, 0.335], [0.500, 0.514, 0.182], [0.500, 0.014, 0.818], [0.500, 0.364, 0.665]]
}


d.
{
  "formula": "LaSmSc",
  "functional": "PBE-GGA",
  "state": "relaxed",
  "crystal_system": "trigonal",
  "density_g_cm3": 5.97,
  "lattice": [[-2.285, -1.172, -2.266], [-1.263, -4.221, 3.457], [-2.812, 4.832, 0.336]],
  "species": ["Sc", "Sm", "La"],
  "frac_coords": [[0.168, 0.333, 0.667], [0.666, 0.667, 0.333], [0.166, 0.000, 0.000]]
}


Most favorable structure: a. The second most favorable one is 0.025 eV/atom above it.


a.
{
  "formula": "LaSm4Sc2",
  "functional": "PBE-GGA",
  "state": "relaxed",
  "crystal_system": "triclinic",
  "density_g_cm3": 6.21,
  "lattice": [[9.563, -2.864, -0.114], [-7.573, 5.129, -1.807], [3.041, 3.138, 13.516]],
  "species": ["La", "La", "Sm", "Sm", "Sm", "Sm", "Sm", "Sm", "Sm", "Sm", "Sc", "Sc", "Sc", "Sc"],
  "frac_coords": [[0.948, 0.105, 0.197], [0.052, 0.895, 0.803], [0.174, 0.261, 0.424], [0.883, 0.393, 0.133], [0.637, 0.052, 0.386], [0.766, 0.581, 0.016], [0.234, 0.419, 0.984], [0.363, 0.948, 0.614], [0.117, 0.607, 0.867], [0.826, 0.739, 0.576], [0.518, 0.675, 0.768], [0.869, 0.156, 0.620], [0.482, 0.325, 0.232], [0.131, 0.844, 0.380]]
}


b.
{
  "formula": "LaSm4Sc2",
  "functional": "PBE-GGA",
  "state": "relaxed",
  "crystal_system": "monoclinic",
  "density_g_cm3": 6.18,
  "lattice": [[8.671, 0.000, -0.397], [0.000, 6.441, 0.000], [-3.666, 0.000, 8.153]],
  "species": ["La", "La", "Sm", "Sm", "Sm", "Sm", "Sm", "Sm", "Sm", "Sm", "Sc", "Sc", "Sc", "Sc"],
  "frac_coords": [[0.247, 0.750, 0.255], [0.753, 0.250, 0.745], [0.597, 0.492, 0.227], [0.051, 0.750, 0.824], [0.949, 0.250, 0.176], [0.597, 0.008, 0.227], [0.009, 0.250, 0.567], [0.403, 0.992, 0.773], [0.403, 0.508, 0.773], [0.991, 0.750, 0.433], [0.795, 0.750, 0.998], [0.205, 0.250, 0.002], [0.368, 0.250, 0.424], [0.632, 0.750, 0.576]]
}


Most favorable structure: a. The second most favorable one is 0.090 eV/atom above it.